# 1
VASP calculation (PBE-GGA) on Ce5PbSe4 after structural relaxation.

```
Ce5PbSe4
1.0
-4.787 4.787 3.036
4.787 -4.787 3.036
4.787 4.787 -3.036
Ce Pb Se
5 1 4
direct
0.000 0.000 0.000 Ce
0.187 0.397 0.585 Ce
0.397 0.813 0.210 Ce
0.603 0.187 0.790 Ce
0.813 0.603 0.415 Ce
0.500 0.500 0.000 Pb
0.105 0.702 0.807 Se
0.298 0.105 0.403 Se
0.702 0.895 0.597 Se
0.895 0.298 0.193 Se
```

Properties
E: -6.24 eV per atom
D(E_F): 3.145 states/eV per atom
energy relative to the elements, uncorrected: -1505 meV/atom

=====

# 2
VASP calculation (PBE-GGA) on KLiF3 after structural relaxation.

```
KLiF3
1.0
1.961 -7.360 0.000
1.961 7.360 0.000
0.000 0.000 5.348
K Li F
2 2 6
direct
0.157 0.843 0.750 K
0.843 0.157 0.250 K
0.439 0.561 0.750 Li
0.561 0.439 0.250 Li
0.000 0.000 0.000 F
0.000 0.000 0.500 F
0.077 0.422 0.750 F
0.422 0.077 0.250 F
0.578 0.923 0.750 F
0.923 0.578 0.250 F
```

Properties
E: -3.79 eV per atom
D(E_F): 0.386 states/eV per atom
energy relative to the elements, uncorrected: -2065 meV/atom